DFT (PBE) results for an optimized crystal structure of Tb4Dy3Y.

Structure (POSCAR):
```
Tb4Dy3Y
1.0
-1.744 3.331 11.218
1.744 -3.331 11.218
1.744 3.331 -11.218
Tb Dy Y
4 3 1
Direct
0.118 0.875 0.243 Tb
0.368 0.125 0.243 Tb
0.632 0.875 0.757 Tb
0.882 0.125 0.757 Tb
0.000 0.500 0.500 Dy
0.240 0.740 0.500 Dy
0.760 0.260 0.500 Dy
0.500 0.000 0.500 Y
```

- ΔE to the lowest computed polymorph: 154 meV per atom
- Space-group type: Immm
- ΔE_f: 163 meV per atom
- Spin magnetization: 0.000 μB per atom

---

DFT (PBE) results for an optimized crystal structure of BaZnSe2O6.

Structure (POSCAR):
```
BaZnSe2O6
1.0
5.999 0.000 0.000
0.000 13.315 0.000
-0.206 0.000 8.735
Ba Zn Se O
4 4 8 24
Direct
0.203 0.199 0.200 Ba
0.203 0.301 0.700 Ba
0.797 0.699 0.300 Ba
0.797 0.801 0.800 Ba
0.346 0.640 0.576 Zn
0.346 0.860 0.076 Zn
0.654 0.140 0.924 Zn
0.654 0.360 0.424 Zn
0.240 0.633 0.943 Se
0.240 0.867 0.443 Se
0.274 0.007 0.782 Se
0.274 0.493 0.282 Se
0.726 0.507 0.718 Se
0.726 0.993 0.218 Se
0.760 0.133 0.557 Se
0.760 0.367 0.057 Se
0.006 0.677 0.029 O
0.006 0.823 0.529 O
0.161 0.577 0.413 O
0.161 0.923 0.913 O
0.165 0.666 0.756 O
0.165 0.834 0.256 O
0.325 0.119 0.882 O
0.325 0.381 0.382 O
0.444 0.723 0.989 O
0.444 0.777 0.489 O
0.459 0.033 0.234 O
0.459 0.467 0.734 O
0.541 0.533 0.266 O
0.541 0.967 0.766 O
0.556 0.223 0.511 O
0.556 0.277 0.011 O
0.675 0.619 0.618 O
0.675 0.881 0.118 O
0.835 0.166 0.744 O
0.835 0.334 0.244 O
0.839 0.077 0.087 O
0.839 0.423 0.587 O
0.994 0.177 0.471 O
0.994 0.323 0.971 O
```

- ΔE to the lowest computed polymorph: 0 meV per atom
- Formation energy from raw total energies: -143.7 kJ/mol of atoms
- Space-group type: P2_1/c
- Spin magnetization: 0.000 μB per atom

---

DFT (PBE) results for an optimized crystal structure of PmY4Sc4.

Structure (POSCAR):
```
PmY4Sc4
1.0
-5.164 5.164 2.439
5.164 -5.164 2.439
5.164 5.164 -2.439
Pm Y Sc
1 4 4
Direct
0.000 0.000 0.000 Pm
0.331 0.331 0.662 Y
0.331 0.669 0.000 Y
0.669 0.331 0.000 Y
0.669 0.669 0.338 Y
0.000 0.342 0.342 Sc
0.000 0.658 0.658 Sc
0.342 0.000 0.342 Sc
0.658 0.000 0.658 Sc
```

- Space-group type: I4/mmm
- ΔE_f: 61 meV per atom
- Spin magnetization: 0.000 μB per atom

---

It is found that the VASP energy values, taken in the order of the records, are -4.69; -5.48; -6.15 eV/atom.
It is found that the ρ values, taken in the order of the records, are 7.72; 4.35; 4.34 g/cm3.